[1]
The following is a DFT calculation (GGA-PBE) of crystalline AcTb4Pr7 at its relaxed geometry.

Its energy above the most stable polymorph in this dataset is 211 meV per atom. For the energy relative to the elements, the calculation gives 0.22 eV per atom. The value obtained for the density of states at the Fermi level is 19.603 states/eV/f.u. The value obtained for the magnetic moment is 0.238 μB/f.u.

It has space group C2/m (No. 12), with a = 16.3314 Å, b = 6.2127 Å, c = 9.6167 Å, α = 90.00°, β = 117.10° and γ = 90.00°. Symmetry generates all atoms from Ac at (0.0000, 0.0000, 0.0000), Tb at (0.0643, 0.5000, 0.7017), Tb at (0.1662, 0.5000, 0.3560), Pr at (0.0000, 0.5000, 0.0000), Pr at (0.0917, 0.0000, 0.4637), Pr at (0.2156, 0.0000, 0.8925) and Pr at (0.2294, 0.0000, 0.2641).



[2]
The following is a DFT calculation (GGA-PBE) of crystalline PmIn2Ag5 at its relaxed geometry.

For the energy relative to the elements, the calculation gives -0.12 eV per atom. The value obtained for the density of states at the Fermi level is 3.372 states/eV/f.u. The value obtained for the magnetic moment is 0.000 μB/f.u.

It has space group Immm (No. 71), with a = 3.3756 Å, b = 8.7431 Å, c = 11.6447 Å, α = 90.00°, β = 90.00° and γ = 90.00°. Symmetry generates all atoms from Pm at (0.0000, 0.0000, 0.0000), In at (0.0000, 0.5000, 0.2511), Ag at (0.0000, 0.2214, 0.3745) and Ag at (0.0000, 0.5000, 0.0000).



[3]
The following is a DFT calculation (GGA-PBE) of crystalline TcRu2Pb at its relaxed geometry.

For the energy relative to the elements, the calculation gives 0.53 eV per atom. The value obtained for the density of states at the Fermi level is 5.850 states/eV/f.u. The value obtained for the magnetic moment is 0.002 μB/f.u.

It has space group I-4m2 (No. 119), with a = 3.9401 Å, b = 3.9401 Å, c = 8.3314 Å, α = 90.00°, β = 90.00° and γ = 90.00°. Symmetry generates all atoms from Tc at (0.0000, 0.0000, 0.0000), Ru at (0.0000, 0.0000, 0.5000), Ru at (0.0000, 0.5000, 0.2500) and Pb at (0.0000, 0.5000, 0.7500).